Here is a geometry-optimized RbTmGeSe3 structure from Alexandria. Energies are from PBE.

abc: 4.043 8.908 11.228
angles: 110.71 90.00 90.00
Element x y z (fractional)
Rb: 0.750 0.768 0.725
Rb: 0.250 0.232 0.275
Ge: 0.750 0.872 0.439
Ge: 0.250 0.128 0.561
Tm: 0.750 0.366 0.846
Tm: 0.250 0.634 0.154
Se: 0.750 0.400 0.104
Se: 0.250 0.672 0.419
Se: 0.250 0.600 0.896
Se: 0.250 0.120 0.780
Se: 0.750 0.880 0.220
Se: 0.750 0.328 0.581

- crystal system = monoclinic
- magnetization (μB per formula unit) = 0.00
- ΔE_f (raw) (kJ/mol of atoms) = -120.4



Here is a geometry-optimized CaTl2HgH structure from Alexandria. Energies are from PBE.

abc: 5.147 5.147 4.413
angles: 90.00 90.00 90.00
Element x y z (fractional)
Ca: 0.000 0.000 0.500
Tl: 0.000 0.500 0.000
Tl: 0.500 0.000 0.000
Hg: 0.500 0.500 0.500
H: 0.000 0.000 0.000

- crystal system = tetragonal
- magnetization (μB per formula unit) = 0.00
- total energy (eV/cell) = -11.06



> Look up the magnetization of the second one.

0.00 μB per formula unit



Please write out number 2 again, unchanged.
Here is a geometry-optimized CaTl2HgH structure from Alexandria. Energies are from PBE.

abc: 5.147 5.147 4.413
angles: 90.00 90.00 90.00
Element x y z (fractional)
Ca: 0.000 0.000 0.500
Tl: 0.000 0.500 0.000
Tl: 0.500 0.000 0.000
Hg: 0.500 0.500 0.500
H: 0.000 0.000 0.000

- crystal system = tetragonal
- magnetization (μB per formula unit) = 0.00
- total energy (eV/cell) = -11.06



> Look up the magnetization of the second one.

0.00 μB per formula unit